Record 1
# Mn2W2Cl

A relaxed structure of Mn2W2Cl (GGA-PBEsol, Alexandria).

Values from the calculation:
- energy (Ha/atom) = -0.3325
- energy relative to the elements, uncorrected (eV/atom) = 0.78
- D(E_F) (states/eV/atom) = 1.077
- SG = I4/mmm, No. 139

a b c (Å): 7.047 7.047 7.047
angles (deg): 151.07 151.07 41.37
Positions (direct):
Mn: 0.250 0.750 0.500
Mn: 0.750 0.250 0.500
W: 0.132 0.132 0.000
W: 0.868 0.868 0.000
Cl: 0.500 0.500 0.000



Record 2
# Rb3PrCl6

A relaxed structure of Rb3PrCl6 (GGA-PBEsol, Alexandria).

Values from the calculation:
- energy (Ha/atom) = -0.1487
- energy relative to the elements, uncorrected (eV/atom) = -2.02
- D(E_F) (states/eV/atom) = 0.000
- SG = Fm-3m, No. 225

a b c (Å): 8.155 8.155 8.155
angles (deg): 60.00 60.00 60.00
Positions (direct):
Rb: 0.000 0.000 0.000
Rb: 0.250 0.250 0.250
Rb: 0.750 0.750 0.750
Pr: 0.500 0.500 0.500
Cl: 0.265 0.265 0.735
Cl: 0.265 0.735 0.265
Cl: 0.265 0.735 0.735
Cl: 0.735 0.265 0.265
Cl: 0.735 0.265 0.735
Cl: 0.735 0.735 0.265



Record 3
# Cs2InHgCl6

A relaxed structure of Cs2InHgCl6 (GGA-PBEsol, Alexandria).

Values from the calculation:
- energy (Ha/atom) = -0.1137
- energy relative to the elements, uncorrected (eV/atom) = -1.34
- D(E_F) (states/eV/atom) = 0.119
- SG = Fm-3m, No. 225

a b c (Å): 7.511 7.511 7.511
angles (deg): 60.00 60.00 60.00
Positions (direct):
Cs: 0.250 0.250 0.250
Cs: 0.750 0.750 0.750
In: 0.000 0.000 0.000
Hg: 0.500 0.500 0.500
Cl: 0.240 0.240 0.760
Cl: 0.240 0.760 0.240
Cl: 0.240 0.760 0.760
Cl: 0.760 0.240 0.240
Cl: 0.760 0.240 0.760
Cl: 0.760 0.760 0.240



Record 4
# H2S

A relaxed structure of H2S (GGA-PBEsol, Alexandria).

Values from the calculation:
- energy (Ha/atom) = -0.1398
- D(E_F) (states/eV/atom) = 0.000
- SG = Ibca, No. 73

a b c (Å): 7.384 7.384 7.384
angles (deg): 113.06 112.33 103.19
Positions (direct):
H: 0.085 0.765 0.495
H: 0.090 0.775 0.005
H: 0.230 0.410 0.995
H: 0.230 0.725 0.815
H: 0.270 0.085 0.495
H: 0.270 0.265 0.180
H: 0.410 0.415 0.685
H: 0.415 0.910 0.680
H: 0.585 0.090 0.320
H: 0.590 0.585 0.315
H: 0.730 0.735 0.820
H: 0.730 0.915 0.505
H: 0.770 0.275 0.185
H: 0.770 0.590 0.005
H: 0.910 0.225 0.995
H: 0.915 0.235 0.505
S: 0.227 0.250 0.477
S: 0.250 0.223 0.973
S: 0.250 0.723 0.473
S: 0.273 0.750 0.023
S: 0.727 0.250 0.977
S: 0.750 0.277 0.527
S: 0.750 0.777 0.027
S: 0.773 0.750 0.523



Record 5
# CaYBe2

A relaxed structure of CaYBe2 (GGA-PBEsol, Alexandria).

Values from the calculation:
- energy (Ha/atom) = -0.1448
- calculated formation energy (eV/atom) = 0.299
- D(E_F) (states/eV/atom) = 0.813
- SG = C2/m, No. 12

a b c (Å): 4.999 4.999 6.242
angles (deg): 122.55 122.55 47.29
Positions (direct):
Ca: 0.000 0.000 0.000
Y: 0.500 0.500 0.500
Be: 0.237 0.237 0.571
Be: 0.763 0.763 0.429



Record 6
# Zr3CrAg

A relaxed structure of Zr3CrAg (GGA-PBEsol, Alexandria).

Values from the calculation:
- energy (Ha/atom) = -0.2519
- calculated formation energy (eV/atom) = 1.310
- D(E_F) (states/eV/atom) = 1.692
- SG = Pm-3m, No. 221

a b c (Å): 5.052 5.052 5.052
angles (deg): 90.00 90.00 90.00
Positions (direct):
Zr: 0.000 0.000 0.500
Zr: 0.000 0.500 0.000
Zr: 0.500 0.000 0.000
Cr: 0.500 0.500 0.500
Ag: 0.000 0.000 0.000